Here is an optimized crystal structure of La2HfCr from Alexandria via LeMat-Bulk. Energies are from GGA-PBE.

```
data_La2HfCr
_chemical_formula_sum 'La2 Hf1 Cr1'
_cell_length_a 5.2146
_cell_length_b 5.2146
_cell_length_c 5.2146
_cell_angle_alpha 60.00
_cell_angle_beta 60.00
_cell_angle_gamma 60.00
_symmetry_space_group_name_H-M 'P 1'
_symmetry_Int_Tables_number 1
_symmetry_space_group_name_Hall 'P 1'
loop_
_atom_site_label
_atom_site_type_symbol
_atom_site_fract_x
_atom_site_fract_y
_atom_site_fract_z
_atom_site_occupancy
La1 La 0.2500 0.2500 0.2500 1
La2 La 0.7500 0.7500 0.7500 1
Hf1 Hf 0.0000 0.0000 0.0000 1
Cr1 Cr 0.5000 0.5000 0.5000 1
```

Properties
formation enthalpy at 0 K = 742 meV per atom
space-group type = Fm-3m (225)
relative energy among the computed polymorphs = 23.5 meV per atom
calculated volume = 25.067 Å³/atom
spin magnetization = 0.000 μB/cell